# 1
Ac4GePtCl2 PBE optimized geometry; crystal system = monoclinic; M_tot = 0.0 μB per formula unit; formation energy without anion corrections = -1.290 eV/atom
1.0
-1.9195 2.2910 -3.2838
-6.8003 -0.9170 3.3352
-1.2673 6.1997 5.0661
Ac Cl Ge Pt
4 2 1 1
Direct
0.0000 0.2817 0.2277
0.5000 0.2658 0.7463
0.5000 0.7342 0.2537
0.0000 0.7183 0.7723
0.0000 0.0000 0.0000
0.5000 0.0000 0.5000
0.0000 0.5000 0.5000
0.5000 0.5000 0.0000



# 2
CaLa2H PBE optimized geometry; crystal system = cubic; total energy = -12.62 eV for the cell shown; M_tot = 0.0 μB per formula unit
1.0
-2.0293 -0.8400 5.1421
0.4727 3.9985 3.8799
-4.5353 2.7903 1.7061
La Ca H
2 1 1
Direct
0.2500 0.2500 0.2500
0.7500 0.7500 0.7500
0.5000 0.5000 0.5000
0.0000 0.0000 0.0000



# 3
Na2Ag2Pd PBE optimized geometry; crystal system = tetragonal; formation enthalpy at 0 K = 0.0243 eV per atom; M_tot = 0.0 μB per formula unit
1.0
-1.9962 5.6558 -3.5145
-6.6464 -1.9163 0.6913
-0.2689 2.3551 3.9427
Ag Na Pd
4 4 2
Direct
0.8615 0.6385 0.0000
0.1385 0.3615 0.0000
0.6385 0.1385 0.0000
0.3615 0.8615 0.0000
0.6768 0.8232 0.5000
0.8232 0.3232 0.5000
0.1768 0.6768 0.5000
0.3232 0.1768 0.5000
0.5000 0.5000 0.0000
0.0000 0.0000 0.0000



# 4
GaFePd6 PBE optimized geometry; crystal system = triclinic; formation enthalpy at 0 K = -0.1398 eV per atom; M_tot = 4.0 μB per formula unit
1.0
6.9516 -0.0139 0.5175
3.4465 5.9778 -0.0373
3.6780 1.8483 3.1951
Pd Ga Fe
6 1 1
Direct
0.9874 0.4718 0.2894
0.0126 0.5282 0.7106
0.7513 0.9237 0.9011
0.2487 0.0763 0.0989
0.4874 0.2496 0.2269
0.5126 0.7504 0.7731
0.0000 0.0000 0.0000
0.5000 0.5000 0.5000



# 5
MgSbRuS2 PBE optimized geometry; crystal system = tetragonal; M_tot = 0.0 μB per formula unit; formation energy without anion corrections = 0.145 eV/atom
1.0
4.4676 0.0000 0.0000
0.0000 5.8772 0.0000
0.0000 0.0000 4.4676
Ru S Mg Sb
1 2 1 1
Direct
0.0000 0.0000 0.0000
0.5000 0.0000 0.0000
0.0000 0.0000 0.5000
0.5000 0.5000 0.5000
0.0000 0.5000 0.0000



Q: Look up the M_tot of the fourth one.
A: 4.0 μB per formula unit